# 1
VASP calculation (PBEsol) on a geometry-optimized Nb6Si7Ni16 structure.

calculated volume: 346.26 Å³ per cell
energy: -7.6835 eV/atom
uncorrected formation energy: -660 meV/atom

a b c (Å): 7.8820 7.8820 7.8820
angles (deg): 60.00 60.00 60.00
Last column: nearest neighbours and their distance in Å.
Sites, in units of the cell vectors:
1 Nb 0.2035 0.2035 0.7965  8 Ni 2.69-2.72, 4 Si 2.83
2 Nb 0.2035 0.7965 0.2035  8 Ni 2.69-2.72, 4 Si 2.83
3 Nb 0.2035 0.7965 0.7965  8 Ni 2.69-2.72, 4 Si 2.83
4 Nb 0.7965 0.2035 0.2035  8 Ni 2.69-2.72, 4 Si 2.83
5 Nb 0.7965 0.2035 0.7965  8 Ni 2.69-2.72, 4 Si 2.83
6 Nb 0.7965 0.7965 0.2035  8 Ni 2.69-2.72, 4 Si 2.83
7 Si 0.0000 0.0000 0.5000  8 Ni 2.28-2.47
8 Si 0.0000 0.5000 0.0000  8 Ni 2.28-2.47
9 Si 0.0000 0.5000 0.5000  8 Ni 2.28-2.47
10 Si 0.5000 0.0000 0.0000  8 Ni 2.28-2.47
11 Si 0.5000 0.0000 0.5000  8 Ni 2.28-2.47
12 Si 0.5000 0.5000 0.0000  8 Ni 2.28-2.47
13 Si 0.5000 0.5000 0.5000  8 Ni 2.25
14 Ni 0.1499 0.6167 0.6167  4 Si 2.25-2.47
15 Ni 0.1685 0.1685 0.1685  3 Si 2.28, 3 Ni 2.53
16 Ni 0.1685 0.1685 0.4944  3 Si 2.28, 3 Ni 2.53
17 Ni 0.1685 0.4944 0.1685  3 Si 2.28, 3 Ni 2.53
18 Ni 0.3833 0.3833 0.3833  4 Si 2.25-2.47
19 Ni 0.3833 0.3833 0.8501  4 Si 2.25-2.47
20 Ni 0.3833 0.8501 0.3833  4 Si 2.25-2.47
21 Ni 0.4944 0.1685 0.1685  3 Si 2.28, 3 Ni 2.53
22 Ni 0.5056 0.8315 0.8315  3 Si 2.28, 3 Ni 2.53
23 Ni 0.6167 0.1499 0.6167  4 Si 2.25-2.47
24 Ni 0.6167 0.6167 0.1499  4 Si 2.25-2.47
25 Ni 0.6167 0.6167 0.6167  4 Si 2.25-2.47
26 Ni 0.8315 0.5056 0.8315  3 Si 2.28, 3 Ni 2.53
27 Ni 0.8315 0.8315 0.5056  3 Si 2.28, 3 Ni 2.53
28 Ni 0.8315 0.8315 0.8315  3 Si 2.28, 3 Ni 2.53
29 Ni 0.8501 0.3833 0.3833  4 Si 2.25-2.47

# 2
VASP calculation (PBEsol) on a geometry-optimized Sr2NbNi structure.

calculated volume: 105.65 Å³ per cell
energy: -4.1806 eV/atom

a b c (Å): 5.3064 5.3064 5.3064
angles (deg): 60.00 60.00 60.00
Last column: nearest neighbours and their distance in Å.
Sites, in units of the cell vectors:
1 Sr 0.2500 0.2500 0.2500  4 Nb 3.25, 4 Ni 3.25
2 Sr 0.7500 0.7500 0.7500  4 Ni 3.25, 4 Nb 3.25
3 Nb 0.0000 0.0000 0.0000  8 Sr 3.25
4 Ni 0.5000 0.5000 0.5000  8 Sr 3.25

# 3
VASP calculation (PBEsol) on a geometry-optimized SrTi2NbNi structure.

calculated volume: 110.83 Å³ per cell
energy: -6.3594 eV/atom

a b c (Å): 4.7577 4.7577 4.8963
angles (deg): 90.00 90.00 90.00
Last column: nearest neighbours and their distance in Å.
Sites, in units of the cell vectors:
1 Sr 0.0000 0.0000 0.0000  4 Ni 3.36, 8 Ti 3.41
2 Ti 0.0000 0.5000 0.5000  2 Nb 2.38
3 Ti 0.5000 0.0000 0.5000  2 Nb 2.38
4 Nb 0.5000 0.5000 0.5000  4 Ti 2.38, 2 Ni 2.45
5 Ni 0.5000 0.5000 0.0000  2 Nb 2.45

# 4
VASP calculation (PBEsol) on a geometry-optimized NbTcNiW2 structure.

calculated volume: 86.23 Å³ per cell
energy: -9.6685 eV/atom

a b c (Å): 4.3893 4.3893 4.4757
angles (deg): 90.00 90.00 90.00
Last column: nearest neighbours and their distance in Å.
Sites, in units of the cell vectors:
1 Nb 0.0000 0.0000 0.0000  2 Ni 2.24
2 Tc 0.5000 0.5000 0.0000  4 Nb 3.10, 8 W 3.13
3 Ni 0.0000 0.0000 0.5000  4 W 2.19, 2 Nb 2.24
4 W 0.0000 0.5000 0.5000  2 Ni 2.19
5 W 0.5000 0.0000 0.5000  2 Ni 2.19